Record 1
First-principles (GGA-PBE) data for a relaxed structure of MgBi2Pd, as listed in Alexandria via LeMat-Bulk.

Output
Energy of formation: -2.33 kcal/mol of atoms
D(E_F): 13.97 states/eV per cell

a = 7.260 Å, b = 7.260 Å, c = 7.260 Å
α = 90.00°, β = 90.00°, γ = 90.00°
Space group Fm-3m (No. 225)
One atom of each set of equivalent atoms:
Mg 0.000 0.000 0.000 (multiplicity 4)
Bi 0.250 0.250 0.250 (multiplicity 8)
Pd 0.000 0.000 0.500 (multiplicity 4)

Record 2
First-principles (GGA-PBE) data for a relaxed structure of BaAcOsN4, as listed in Alexandria via LeMat-Bulk.

Output
Electronic total energy: -0.56915 Ry per atom
D(E_F): 6.83 states/eV per cell

a = 6.405 Å, b = 5.977 Å, c = 7.584 Å
α = 90.00°, β = 106.60°, γ = 90.00°
Space group P2_1/m (No. 11)
One atom of each set of equivalent atoms:
Ba 0.215 0.250 0.422 (multiplicity 2)
Ac 0.285 0.250 0.942 (multiplicity 2)
Os 0.252 0.750 0.181 (multiplicity 2)
N 0.081 0.750 0.337 (multiplicity 2)
N 0.084 0.750 0.944 (multiplicity 2)
N 0.442 0.510 0.216 (multiplicity 4)